Entry 1:
VASP calculation (GGA-PBE) on a relaxed HfZr4Ti crystal.

Cell: 5.3615 5.8785 9.0376 Å, 71.02 88.15 84.30°
Sites, in units of the cell vectors:
Ti (0.7500, 0.2061, 0.0878)
Ti (0.2500, 0.7939, 0.9122)
Zr (0.1566, 0.7099, 0.6028)
Zr (0.6757, 0.6171, 0.7644)
Zr (0.1757, 0.8814, 0.2356)
Zr (0.6566, 0.8127, 0.3972)
Zr (0.8434, 0.2901, 0.3972)
Zr (0.8243, 0.1186, 0.7644)
Zr (0.3243, 0.3829, 0.2356)
Zr (0.3434, 0.1873, 0.6028)
Hf (0.7500, 0.7114, 0.0773)
Hf (0.2500, 0.2886, 0.9227)

Computed properties:
Polymorph energy (0 for the lowest one) = 0.0 meV per atom
M_tot = 0.0 Bohr magnetons per cell
N(E_F) = 1.35 states/eV per atom
Formation energy from the elements = 0.14 eV/atom

***

Entry 2:
VASP calculation (GGA-PBE) on a relaxed CaMgTc2 crystal.

Cell: 5.5501 5.6243 2.7156 Å, 75.41 83.28 116.43°
Sites, in units of the cell vectors:
Mg (0.5000, 0.0000, 0.5000)
Tc (0.0000, 0.5000, 0.5000)
Tc (0.0000, 0.0000, 0.0000)
Ca (0.5000, 0.5000, 0.0000)

Computed properties:
M_tot = 0.0 Bohr magnetons per cell
N(E_F) = 0.86 states/eV per atom
Formation energy from the elements = 0.53 eV/atom

***

Entry 3:
VASP calculation (GGA-PBE) on a relaxed Tb3Nd3Ho8 crystal.

Cell: 5.6521 9.6763 9.6762 Å, 102.13 73.01 73.01°
Sites, in units of the cell vectors:
Tb (0.2026, 0.7971, 0.7971)
Tb (0.7974, 0.2029, 0.2029)
Tb (0.5000, 0.5000, 0.5000)
Ho (0.1585, 0.2387, 0.4440)
Ho (0.6608, 0.1189, 0.5592)
Ho (0.3392, 0.8811, 0.4408)
Ho (0.6608, 0.5592, 0.1189)
Ho (0.8415, 0.7613, 0.5560)
Ho (0.1585, 0.4440, 0.2387)
Ho (0.3392, 0.4408, 0.8811)
Ho (0.8415, 0.5560, 0.7613)
Nd (0.0000, 0.8160, 0.1840)
Nd (0.5000, 0.0000, 0.0000)
Nd (0.0000, 0.1840, 0.8160)

Computed properties:
M_tot = 0.0 Bohr magnetons per cell
N(E_F) = 1.55 states/eV per atom
Formation energy from the elements = 0.11 eV/atom

***

Entry 4:
VASP calculation (GGA-PBE) on a relaxed TaReTc2 crystal.

Cell: 2.9052 3.7918 5.6877 Å, 90.00 90.00 90.00°
Sites, in units of the cell vectors:
Tc (0.5000, 0.5000, 0.2516)
Tc (0.0000, 0.0000, 0.0104)
Re (0.0000, 0.0000, 0.4853)
Ta (0.5000, 0.5000, 0.7527)

Computed properties:
Polymorph energy (0 for the lowest one) = 144.1 meV per atom
M_tot = 0.0 Bohr magnetons per cell
N(E_F) = 1.15 states/eV per atom
Formation energy from the elements = 0.07 eV/atom

***

Entry 5:
VASP calculation (GGA-PBE) on a relaxed SrYAg2Mo crystal.

Cell: 5.3811 4.9045 5.3811 Å, 90.00 90.00 90.00°
Sites, in units of the cell vectors:
Ag (0.0000, 0.0000, 0.5000)
Ag (0.5000, 0.0000, 0.0000)
Y (0.0000, 0.5000, 0.0000)
Sr (0.5000, 0.5000, 0.5000)
Mo (0.0000, 0.0000, 0.0000)

Computed properties:
M_tot = 0.0 Bohr magnetons per cell
N(E_F) = 1.00 states/eV per atom
Formation energy from the elements = 0.57 eV/atom

***

Entry 6:
VASP calculation (GGA-PBE) on a relaxed Ba5GeSb2Br crystal.

Cell: 5.7448 8.6168 10.3451 Å, 114.61 106.12 90.00°
Sites, in units of the cell vectors:
Br (0.0000, 0.5000, 0.0000)
Ba (0.0000, 0.0000, 0.0000)
Ba (0.3507, 0.0873, 0.7013)
Ba (0.6493, 0.9127, 0.2987)
Ba (0.3507, 0.6140, 0.7013)
Ba (0.6493, 0.3860, 0.2987)
Sb (0.2001, 0.2001, 0.4003)
Sb (0.7999, 0.7999, 0.5997)
Ge (0.5000, 0.0000, 0.0000)

Computed properties:
M_tot = 0.0 Bohr magnetons per cell
N(E_F) = 0.04 states/eV per atom
Formation energy (no corrections) = -86 kJ per mole of atoms

***

Entry 7:
VASP calculation (GGA-PBE) on a relaxed Pr8Cd crystal.

Cell: 9.3738 6.7200 6.7199 Å, 128.87 97.72 97.72°
Sites, in units of the cell vectors:
Pr (0.6348, 0.3146, 0.3146)
Pr (0.7003, 0.0110, 0.6841)
Pr (0.2997, 0.3159, 0.9890)
Pr (0.2997, 0.9890, 0.3159)
Pr (0.3652, 0.6854, 0.6854)
Pr (0.0000, 0.3537, 0.6463)
Pr (0.7003, 0.6841, 0.0110)
Pr (0.0000, 0.6463, 0.3537)
Cd (0.0000, 0.0000, 0.0000)

Computed properties:
Polymorph energy (0 for the lowest one) = 0.0 meV per atom
M_tot = 0.0 Bohr magnetons per cell
N(E_F) = 1.40 states/eV per atom
Formation energy from the elements = -0.01 eV/atom

***

Entry 8:
VASP calculation (GGA-PBE) on a relaxed MnTlIn4S8 crystal.

Cell: 7.9054 7.9054 7.7003 Å, 59.12 59.12 60.00°
Sites, in units of the cell vectors:
S (0.2214, 0.2214, 0.7570)
S (0.2183, 0.7611, 0.2596)
S (0.7611, 0.2183, 0.2596)
S (0.2444, 0.2444, 0.2669)
S (0.2214, 0.8001, 0.7570)
S (0.7577, 0.7577, 0.7269)
S (0.8001, 0.2214, 0.7570)
S (0.7611, 0.7611, 0.2596)
In (0.4903, 0.0048, 0.5000)
In (0.0048, 0.0048, 0.5000)
In (0.0048, 0.4903, 0.5000)
In (0.6198, 0.6198, 0.1407)
Tl (0.3948, 0.3948, 0.8157)
Mn (0.0000, 0.0000, 0.0000)

Computed properties:
M_tot = 4.4 Bohr magnetons per cell
N(E_F) = 0.20 states/eV per atom
Formation energy (no corrections) = -46 kJ per mole of atoms